1.
Here is a PBEsol-optimized structure of Ba2YIn from the Alexandria database. Energies are from SCAN.

Calculated values
VASP energy   -35.13 eV per atom
Energy of formation from the pure elements   -17 kJ/mol of formula units
Total magnetic moment   0.70 μB/f.u.

Cell: 3.8700 5.1940 7.3614 Å, 90.00 90.00 90.00°
With the nearest neighbours (Å) after each atom.
Space group Pmmm (No. 47)
Symmetry-distinct sites (fractional):
Ba1 0.0000 0.0000 0.2356  3 Ba 3.47-3.87, 4 In 3.67, 4 Y 3.78
Y1 0.5000 0.5000 0.5000  2 In 3.68, 8 Ba 3.78, 2 Y 3.87
In1 0.5000 0.5000 0.0000  8 Ba 3.67, 2 Y 3.68, 2 In 3.87


2.
Here is a PBEsol-optimized structure of BaY2In from the Alexandria database. Energies are from SCAN.

Calculated values
VASP energy   -32.32 eV per atom
Energy of formation from the pure elements   -64 kJ/mol of formula units
Total magnetic moment   0.00 μB/f.u.

Cell: 3.6392 4.8325 7.3673 Å, 90.00 90.00 90.00°
With the nearest neighbours (Å) after each atom.
Space group Pmm2 (No. 25)
Symmetry-distinct sites (fractional):
Ba1 0.0000 0.0000 0.0000  5 Y 3.43-3.81, 4 In 3.59, 2 Ba 3.64
Y1 0.0000 0.0000 0.4653  4 In 3.37, 1 Ba 3.43, 6 Y 3.44-3.64
Y2 0.5000 0.5000 0.6865  1 In 3.12, 4 Y 3.44
In1 0.5000 0.5000 0.2625  5 Y 3.12-3.37


3.
Here is a PBEsol-optimized structure of BaYIn2 from the Alexandria database. Energies are from SCAN.

Calculated values
VASP energy   -34.16 eV per atom
Energy of formation from the pure elements   -238 kJ/mol of formula units
Total magnetic moment   0.00 μB/f.u.

Cell: 3.8860 3.9266 7.9770 Å, 90.00 90.00 90.00°
With the nearest neighbours (Å) after each atom.
Space group Pmmm (No. 47)
Symmetry-distinct sites (fractional):
Ba1 0.0000 0.0000 0.0000  8 In 3.63, 4 Ba 3.89-3.93, 2 Y 3.99
Y1 0.0000 0.0000 0.5000  8 In 3.21
In1 0.5000 0.5000 0.2955  4 Y 3.21, 1 In 3.26


4.
Here is a PBEsol-optimized structure of BaY2In from the Alexandria database. Energies are from SCAN.

Calculated values
VASP energy   -32.26 eV per atom
Energy of formation from the pure elements   -40 kJ/mol of formula units
Total magnetic moment   0.00 μB/f.u.

Cell: 5.0322 5.0322 4.8906 Å, 90.00 90.00 90.00°
With the nearest neighbours (Å) after each atom.
Space group P4/mmm (No. 123)
Symmetry-distinct sites (fractional):
Ba1 0.0000 0.0000 0.0000  8 Y 3.51, 4 In 3.56
Y1 0.0000 0.5000 0.5000  4 In 3.51, 4 Ba 3.51, 4 Y 3.56
In1 0.5000 0.5000 0.0000  8 Y 3.51, 4 Ba 3.56


Look up the VASP energy of the fourth one. -32.26 eV per atom


What is the energy of formation from the pure elements in the fourth record? -40 kJ/mol of formula units


Look up the VASP energy of the first one. -35.13 eV per atom